Entry from Alexandria via LeMat-Bulk: a geometry-optimized RbCaNO2 structure (PBE).

Lattice parameters (Å, degrees): 4.609 4.609 4.373 90.00 90.00 90.00
Space group P4/mmm (No. 123)
Unique sites:
Rb  0.000  0.000  0.000 (multiplicity 1)
Ca  0.500  0.500  0.500 (multiplicity 1)
N  0.000  0.000  0.500 (multiplicity 1)
O  0.000  0.500  0.000 (multiplicity 2)

* formation energy (no corrections): 665 meV/atom

Entry from Alexandria via LeMat-Bulk: a geometry-optimized CaRhNO2 structure (PBE).

Lattice parameters (Å, degrees): 4.113 4.113 3.677 90.00 90.00 90.00
Space group P4/mmm (No. 123)
Unique sites:
Ca  0.000  0.000  0.000 (multiplicity 1)
Rh  0.500  0.500  0.500 (multiplicity 1)
N  0.500  0.500  0.000 (multiplicity 1)
O  0.000  0.500  0.500 (multiplicity 2)

* formation energy (no corrections): -827 meV/atom

Entry from Alexandria via LeMat-Bulk: a geometry-optimized CaRhNO2 structure (PBE).

Lattice parameters (Å, degrees): 4.219 4.219 4.421 90.00 90.00 90.00
Space group P4/mmm (No. 123)
Unique sites:
Ca  0.000  0.000  0.000 (multiplicity 1)
Rh  0.500  0.500  0.500 (multiplicity 1)
N  0.000  0.000  0.500 (multiplicity 1)
O  0.000  0.500  0.000 (multiplicity 2)

* formation energy (no corrections): 957 meV/atom

Entry from Alexandria via LeMat-Bulk: a geometry-optimized CaRuN2O structure (PBE).

Lattice parameters (Å, degrees): 3.780 3.780 4.312 90.00 90.00 90.00
Space group P4/mmm (No. 123)
Unique sites:
Ca  0.000  0.000  0.000 (multiplicity 1)
Ru  0.500  0.500  0.500 (multiplicity 1)
N  0.000  0.500  0.500 (multiplicity 2)
O  0.500  0.500  0.000 (multiplicity 1)

* formation energy (no corrections): -450 meV/atom

Entry from Alexandria via LeMat-Bulk: a geometry-optimized CaRuNO2 structure (PBE).

Lattice parameters (Å, degrees): 4.007 4.007 3.759 90.00 90.00 90.00
Space group P4/mmm (No. 123)
Unique sites:
Ca  0.000  0.000  0.000 (multiplicity 1)
Ru  0.500  0.500  0.500 (multiplicity 1)
N  0.500  0.500  0.000 (multiplicity 1)
O  0.000  0.500  0.500 (multiplicity 2)

* formation energy (no corrections): -1065 meV/atom

Entry from Alexandria via LeMat-Bulk: a geometry-optimized CaRuNO2 structure (PBE).

Lattice parameters (Å, degrees): 4.259 4.259 4.395 90.00 90.00 90.00
Space group P4/mmm (No. 123)
Unique sites:
Ca  0.000  0.000  0.000 (multiplicity 1)
Ru  0.500  0.500  0.500 (multiplicity 1)
N  0.000  0.000  0.500 (multiplicity 1)
O  0.000  0.500  0.000 (multiplicity 2)

* formation energy (no corrections): 977 meV/atom

Entry from Alexandria via LeMat-Bulk: a geometry-optimized CaRuN2O structure (PBE).

Lattice parameters (Å, degrees): 4.184 4.184 4.118 90.00 90.00 90.00
Space group P4/mmm (No. 123)
Unique sites:
Ca  0.000  0.000  0.000 (multiplicity 1)
Ru  0.500  0.500  0.500 (multiplicity 1)
N  0.000  0.500  0.000 (multiplicity 2)
O  0.000  0.000  0.500 (multiplicity 1)

* formation energy (no corrections): 1935 meV/atom

Entry from Alexandria via LeMat-Bulk: a geometry-optimized CaSNO2 structure (PBE).

Lattice parameters (Å, degrees): 4.464 4.464 4.931 90.00 90.00 90.00
Space group P4/mmm (No. 123)
Unique sites:
Ca  0.000  0.000  0.000 (multiplicity 1)
S  0.500  0.500  0.500 (multiplicity 1)
N  0.000  0.000  0.500 (multiplicity 1)
O  0.000  0.500  0.000 (multiplicity 2)

* formation energy (no corrections): 901 meV/atom